1.
A plane-wave DFT calculation with PBE-GGA was carried out for a geometry-optimized RuRh3Cl structure.

```
5
Lattice="4.383 0.000 0.000 0.000 4.383 0.000 0.000 0.000 4.383" Properties=species:S:1:pos:R:3 pbc="T T T"
Ru 2.191 2.191 2.191
Rh 0.000 2.191 0.000
Rh 0.000 0.000 2.191
Rh 2.191 0.000 0.000
Cl 0.000 0.000 0.000
```

Calculated values
The calculation puts the energy above the lowest structure with this stoichiometry at 0.0 meV/atom. For the density of states at the Fermi level, the calculation gives 1.836 states/eV per atom.

---

2.
A plane-wave DFT calculation with PBE-GGA was carried out for a geometry-optimized Tl2IrSe structure.

```
4
Lattice="0.000 3.531 3.531 3.531 0.000 3.531 3.531 3.531 0.000" Properties=species:S:1:pos:R:3 pbc="T T T"
Tl 1.766 1.766 1.766
Tl 5.297 5.297 5.297
Ir 3.531 3.531 3.531
Se 0.000 0.000 0.000
```

Calculated values
The calculation puts the energy above the lowest structure with this stoichiometry at 609.9 meV/atom. For the density of states at the Fermi level, the calculation gives 1.059 states/eV per atom.

---

3.
A plane-wave DFT calculation with PBE-GGA was carried out for a geometry-optimized PrMnNbSi2 structure.

```
5
Lattice="4.044 0.000 0.000 0.000 4.044 0.000 -2.022 -2.022 5.679" Properties=species:S:1:pos:R:3 pbc="T T T"
Pr 0.000 0.000 0.000
Mn 2.022 0.000 2.840
Nb 0.000 2.022 2.840
Si 2.022 2.022 1.258
Si 0.000 0.000 4.422
```

Calculated values
For the density of states at the Fermi level, the calculation gives 0.844 states/eV per atom.

---

The evaluated energy relative to the elements, uncorrected for the records listed, in turn: 5.6 2.7 -2.6 eV/f.u..